Ta2SiAg after structural relaxation, computed with PBE.

## Properties
Energy, eV per atom: -7.85
D(E_F), states/eV/f.u.: 3.392
Formation energy without anion corrections, eV/atom: 0.148

Structure (CIF):
```
data_Ta2SiAg
_cell_length_a 9.568
_cell_length_b 9.568
_cell_length_c 9.568
_cell_angle_alpha 17.33
_cell_angle_beta 17.33
_cell_angle_gamma 17.33
_symmetry_space_group_name_H-M 'P 1'
_symmetry_Int_Tables_number 1
_symmetry_space_group_name_Hall 'P 1'
loop_
_atom_site_label
_atom_site_type_symbol
_atom_site_fract_x
_atom_site_fract_y
_atom_site_fract_z
_atom_site_occupancy
Ag1 Ag 0.250 0.250 0.250 1
Si1 Si 0.750 0.750 0.750 1
Ta1 Ta 0.006 0.006 0.006 1
Ta2 Ta 0.494 0.494 0.494 1
```